1.
Computed, not measured: an optimized crystal structure of SrMn2Os at the PBE level of DFT.

POSCAR file:
```
SrMn2Os
1.0
2.102 1.213 5.666
-2.102 1.213 5.666
0.000 -2.427 5.666
Sr Mn Os
1 2 1
Cartesian
0.000 0.000 0.000 Sr
0.000 0.000 3.312 Mn
0.000 0.000 8.195 Mn
0.000 0.000 13.672 Os
```

Calculated values
- energy of formation from the pure elements (eV/f.u.) = 1.38
- V (Å³ per cell) = 86.68
- energy above the lowest structure with this stoichiometry (eV/atom) = 0.000
- Fermi-level density of states (states/eV/f.u.) = 3.628
- raw total energy (eV per atom) = -7.47

=====

2.
Computed, not measured: an optimized crystal structure of SrMn2Os at the PBE level of DFT.

POSCAR file:
```
SrMn2Os
1.0
3.039 -3.802 0.000
3.039 3.802 0.000
0.000 0.000 3.074
Sr Mn Os
1 2 1
Cartesian
0.000 0.000 0.000 Sr
1.519 1.901 1.537 Mn
1.519 -1.901 1.537 Mn
3.039 0.000 0.000 Os
```

Calculated values
- energy of formation from the pure elements (eV/f.u.) = 3.54
- V (Å³ per cell) = 71.03
- energy above the lowest structure with this stoichiometry (eV/atom) = 0.540
- Fermi-level density of states (states/eV/f.u.) = 3.187
- raw total energy (eV per atom) = -6.93

=====

3.
Computed, not measured: an optimized crystal structure of SrMn2Os at the PBE level of DFT.

POSCAR file:
```
SrMn2Os
1.0
2.104 1.215 5.539
-2.104 1.215 5.539
0.000 -2.429 5.539
Sr Mn Os
1 2 1
Cartesian
0.000 0.000 0.000 Sr
0.000 0.000 3.240 Mn
0.000 0.000 13.378 Mn
0.000 0.000 8.309 Os
```

Calculated values
- energy of formation from the pure elements (eV/f.u.) = 1.42
- V (Å³ per cell) = 84.91
- energy above the lowest structure with this stoichiometry (eV/atom) = 0.010
- Fermi-level density of states (states/eV/f.u.) = 3.171
- raw total energy (eV per atom) = -7.46

=====

4.
Computed, not measured: an optimized crystal structure of SrMn4Os at the PBE level of DFT.

POSCAR file:
```
SrMn4Os
1.0
0.000 3.518 3.518
3.518 0.000 3.518
3.518 3.518 0.000
Sr Mn Os
1 4 1
Cartesian
0.000 0.000 0.000 Sr
4.394 2.642 2.642 Mn
2.642 4.394 2.642 Mn
2.642 2.642 4.394 Mn
4.394 4.394 4.394 Mn
1.759 1.759 1.759 Os
```

Calculated values
- energy of formation from the pure elements (eV/f.u.) = 4.39
- V (Å³ per cell) = 87.08
- Fermi-level density of states (states/eV/f.u.) = 9.602
- raw total energy (eV per atom) = -7.53

=====

5.
Computed, not measured: an optimized crystal structure of Sr4MnOs at the PBE level of DFT.

POSCAR file:
```
Sr4MnOs
1.0
0.000 4.605 4.605
4.605 0.000 4.605
4.605 4.605 0.000
Sr Mn Os
4 1 1
Cartesian
3.466 3.466 3.466 Sr
5.744 5.744 3.466 Sr
5.744 3.466 5.744 Sr
3.466 5.744 5.744 Sr
0.000 0.000 0.000 Mn
6.907 6.907 6.907 Os
```

Calculated values
- energy of formation from the pure elements (eV/f.u.) = 8.74
- V (Å³ per cell) = 195.30
- Fermi-level density of states (states/eV/f.u.) = 8.334
- raw total energy (eV per atom) = -3.06

=====

6.
Computed, not measured: an optimized crystal structure of SrMn2Os at the PBE level of DFT.

POSCAR file:
```
SrMn2Os
1.0
-3.853 3.853 3.104
3.853 -3.853 3.104
3.853 3.853 -3.104
Sr Mn Os
2 4 2
Cartesian
0.000 0.000 0.000 Sr
0.000 3.853 1.552 Sr
1.926 -1.227 2.328 Mn
2.626 1.926 0.776 Mn
1.926 5.080 -0.776 Mn
1.227 1.926 3.880 Mn
3.853 0.000 1.552 Os
0.000 0.000 3.104 Os
```

Calculated values
- energy of formation from the pure elements (eV/f.u.) = 3.36
- V (Å³ per cell) = 184.35
- energy above the lowest structure with this stoichiometry (eV/atom) = 0.494
- Fermi-level density of states (states/eV/f.u.) = 5.846
- raw total energy (eV per atom) = -6.97

=====

7.
Computed, not measured: an optimized crystal structure of SrMnOs3 at the PBE level of DFT.

POSCAR file:
```
SrMnOs3
1.0
4.563 0.000 0.000
0.000 4.563 0.000
0.000 0.000 4.563
Sr Mn Os
1 1 3
Cartesian
0.000 0.000 0.000 Sr
2.281 2.281 2.281 Mn
0.000 2.281 2.281 Os
2.281 0.000 2.281 Os
2.281 2.281 0.000 Os
```

Calculated values
- energy of formation from the pure elements (eV/f.u.) = 5.96
- V (Å³ per cell) = 95.00
- energy above the lowest structure with this stoichiometry (eV/atom) = 0.000
- Fermi-level density of states (states/eV/f.u.) = 5.175
- raw total energy (eV per atom) = -7.72

=====

8.
Computed, not measured: an optimized crystal structure of SrMn2Os at the PBE level of DFT.

POSCAR file:
```
SrMn2Os
1.0
3.022 0.000 0.000
0.000 3.022 0.000
0.000 0.000 7.878
Sr Mn Os
1 2 1
Cartesian
0.000 0.000 0.000 Sr
0.000 0.000 4.182 Mn
1.511 1.511 2.682 Mn
1.511 1.511 5.482 Os
```

Calculated values
- energy of formation from the pure elements (eV/f.u.) = 2.21
- V (Å³ per cell) = 71.93
- energy above the lowest structure with this stoichiometry (eV/atom) = 0.207
- Fermi-level density of states (states/eV/f.u.) = 3.787
- raw total energy (eV per atom) = -7.26

=====

9.
Computed, not measured: an optimized crystal structure of SrMn2Os at the PBE level of DFT.

POSCAR file:
```
SrMn2Os
1.0
1.495 0.863 9.656
-1.495 0.863 9.656
0.000 -1.726 9.656
Sr Mn Os
1 2 1
Cartesian
0.000 0.000 0.000 Sr
0.000 0.000 6.802 Mn
0.000 0.000 22.165 Mn
0.000 0.000 14.483 Os
```

Calculated values
- energy of formation from the pure elements (eV/f.u.) = 3.65
- V (Å³ per cell) = 74.73
- energy above the lowest structure with this stoichiometry (eV/atom) = 0.568
- Fermi-level density of states (states/eV/f.u.) = 4.993
- raw total energy (eV per atom) = -6.90

=====

10.
Computed, not measured: an optimized crystal structure of SrMn2Os at the PBE level of DFT.

POSCAR file:
```
SrMn2Os
1.0
3.174 0.000 0.000
0.000 3.174 0.000
0.000 0.000 7.659
Sr Mn Os
1 2 1
Cartesian
0.000 0.000 0.000 Sr
1.587 1.587 2.495 Mn
1.587 1.587 5.165 Mn
0.000 0.000 3.830 Os
```

Calculated values
- energy of formation from the pure elements (eV/f.u.) = 2.21
- V (Å³ per cell) = 77.14
- energy above the lowest structure with this stoichiometry (eV/atom) = 0.208
- Fermi-level density of states (states/eV/f.u.) = 3.975
- raw total energy (eV per atom) = -7.26

=====

11.
Computed, not measured: an optimized crystal structure of SrMn2Os at the PBE level of DFT.

POSCAR file:
```
SrMn2Os
1.0
0.000 3.147 3.147
3.147 0.000 3.147
3.147 3.147 0.000
Sr Mn Os
1 2 1
Cartesian
0.000 0.000 0.000 Sr
1.574 1.574 1.574 Mn
4.721 4.721 4.721 Mn
3.147 3.147 3.147 Os
```

Calculated values
- energy of formation from the pure elements (eV/f.u.) = 4.34
- V (Å³ per cell) = 62.36
- energy above the lowest structure with this stoichiometry (eV/atom) = 0.741
- Fermi-level density of states (states/eV/f.u.) = 4.424
- raw total energy (eV per atom) = -6.73

=====

12.
Computed, not measured: an optimized crystal structure of SrMnOs2W at the PBE level of DFT.

POSCAR file:
```
SrMnOs2W
1.0
4.748 0.000 0.000
0.000 4.748 0.000
0.000 0.000 5.335
Sr Mn Os W
1 1 2 1
Cartesian
0.000 0.000 0.000 Sr
2.374 2.374 0.000 Mn
0.000 2.374 2.667 Os
2.374 0.000 2.667 Os
0.000 0.000 2.667 W
```

Calculated values
- energy of formation from the pure elements (eV/f.u.) = 11.78
- V (Å³ per cell) = 120.27
- Fermi-level density of states (states/eV/f.u.) = 8.662
- raw total energy (eV per atom) = -6.90